Record 1
Sc8Co2Si, optimized geometry, DFT GGA-PBE; formation energy from raw total energies = -217 meV per atom; space group = No. 8
1.0
-0.2530 -4.7989 -0.1932
7.1716 0.6134 0.8225
-3.6734 0.9699 6.1685
Co Sc Si
2 8 1
Cartesian
-0.4273 -1.5350 4.4368 Co
3.6945 -1.6704 2.4050 Co
1.3137 -0.7015 6.2289 Sc
-0.8338 -2.4107 1.9860 Sc
1.2928 -0.3136 2.6436 Sc
1.9531 -2.5023 0.6122 Sc
4.1009 -0.7931 4.8550 Sc
-1.2994 -3.9098 4.7067 Sc
1.9742 -2.8915 4.1977 Sc
4.3129 -4.0943 1.9402 Sc
0.0104 0.0005 0.0211 Si



Record 2
Mn5FeH4, optimized geometry, DFT GGA-PBE; E_tot = -6.7692 eV/atom; space group = No. 2
1.0
-2.2569 1.1938 -0.1681
-0.7982 -2.1465 -4.6470
-1.5209 -5.4210 1.2943
Mn H Fe
5 4 1
Cartesian
-1.4331 -3.0529 -2.5904 Mn
-3.5405 -4.3587 -3.0918 Mn
-3.1430 -3.3208 -0.9304 Mn
-1.5276 -0.4763 -2.4075 Mn
-1.0357 -2.0149 -0.4289 Mn
-2.7385 -2.9712 -3.9584 H
-1.8377 -3.4025 0.4376 H
-3.9711 -4.7490 -0.0076 H
-0.6051 -1.6246 -3.5132 H
-1.1285 0.5969 -0.0841 Fe



Record 3
MgMn2Pb, optimized geometry, DFT GGA-PBE; space group = No. 123; calculated formation energy = 35.4 kJ per mole of atoms
1.0
3.5172 0.0000 0.0000
0.0000 3.5172 0.0000
0.0000 0.0000 6.1311
Mn Pb Mg
2 1 1
Cartesian
0.0000 0.0000 3.1572 Mn
0.0000 0.0000 6.0394 Mn
1.7586 1.7586 1.5328 Pb
1.7586 1.7586 4.5983 Mg



Record 4
HOsCl6, optimized geometry, DFT GGA-PBE; E_tot = -3.6102 eV/atom; space group = No. 12
1.0
7.0503 -1.0532 1.6323
-2.1122 5.4927 3.4779
0.5965 0.2951 6.8033
H Cl Os
1 6 1
Cartesian
0.0000 0.0000 0.0000 H
1.4248 1.8653 4.1692 Cl
4.1098 2.8693 7.7443 Cl
1.0125 3.4400 6.9664 Cl
3.3877 4.4207 4.8922 Cl
2.1469 0.3139 7.0212 Cl
4.5222 1.2946 4.9470 Cl
2.7673 2.3673 5.9567 Os



Record 5
SrTcIr, optimized geometry, DFT GGA-PBE; space group = No. 62; calculated formation energy = 9.0 kJ per mole of atoms; E above lowest polymorph = 0.091 eV/atom
1.0
-1.0621 -6.6932 3.3846
3.1551 0.9954 2.9584
-5.3375 3.1838 4.6211
Ir Tc Sr
4 4 4
Cartesian
-2.8949 1.4394 7.5966 Ir
-1.6189 -2.9851 7.7244 Ir
-0.3497 -3.9533 3.3676 Ir
-1.6257 0.4712 3.2398 Ir
-0.8808 1.5481 5.4121 Tc
-3.2531 -0.7002 8.6985 Tc
-2.3638 -4.0620 5.5521 Tc
0.0086 -1.8138 2.2657 Tc
-3.3538 -0.9470 5.5599 Sr
0.3625 -5.3814 6.4176 Sr
-3.6070 2.8675 4.5466 Sr
0.1092 -1.5670 5.4043 Sr



Record 6
Be2Rh, optimized geometry, DFT GGA-PBE; space group = No. 123; calculated formation energy = -24.7 kJ per mole of atoms
1.0
3.6566 0.0000 0.0000
0.0000 3.6566 0.0000
0.0000 0.0000 2.7533
Be Rh
2 1
Cartesian
1.8283 0.0000 0.0000 Be
0.0000 1.8283 0.0000 Be
0.0000 0.0000 1.3766 Rh



Record 7
NbTcBi2, optimized geometry, DFT GGA-PBE; space group = No. 225; calculated formation energy = 50.6 kJ per mole of atoms; E above lowest polymorph = 0.000 eV/atom
1.0
-1.8668 -3.4380 2.9652
-1.8933 1.2724 4.3467
-4.8481 -0.2417 0.7309
Nb Bi Tc
1 2 1
Cartesian
0.0000 0.0000 0.0000 Nb
-6.4561 -1.8055 6.0321 Bi
-2.1520 -0.6018 2.0107 Bi
-4.3041 -1.2037 4.0214 Tc



Record 8
Tb2HoScIn2, optimized geometry, DFT GGA-PBE; space group = No. 26; calculated formation energy = -34.1 kJ per mole of atoms
1.0
5.2817 0.0000 0.0000
0.0000 6.6782 0.0000
0.0000 0.0000 9.1971
Ho In Tb Sc
2 4 4 2
Cartesian
0.0000 0.0447 4.5647 Ho
0.0000 3.3838 4.6324 Ho
0.0000 1.7317 7.5712 In
0.0000 5.0708 1.6259 In
2.6408 1.7110 3.1772 In
2.6408 5.0501 6.0199 In
2.6408 0.0534 0.0385 Tb
2.6408 3.3926 9.1586 Tb
0.0000 5.0948 7.6847 Tb
0.0000 1.7557 1.5124 Tb
2.6408 1.6863 6.1582 Sc
2.6408 5.0254 3.0389 Sc



Number 1: total moment 1.13 μB per formula unit. Number 2: total moment 0.07 μB per formula unit. Number 3: total moment 7.22 μB per formula unit. Number 4: total moment 3.01 μB per formula unit. Number 5: total moment 0.00 μB per formula unit. Number 6: total moment 0.00 μB per formula unit. Number 7: total moment 1.99 μB per formula unit. Number 8: total moment 0.35 μB per formula unit.